DFT (PBE-GGA) results for crystalline Pm2ErTmS5 at its relaxed geometry.

a b c (Å): 4.8257 4.8257 10.1644
angles (deg): 90.00 90.00 90.00
Element x y z (fractional)
Pm1 0.0000 0.0000 0.2059
Pm2 0.0000 0.0000 0.7941
Er1 0.5000 0.5000 0.5000
Tm1 0.5000 0.5000 0.0000
S1 0.0000 0.0000 0.5000
S2 0.0000 0.5000 0.0000
S3 0.5000 0.0000 0.0000
S4 0.5000 0.5000 0.2551
S5 0.5000 0.5000 0.7449

Results
* magnetic moment: 0.000 μB per atom
* E_tot: -5.81 eV/atom
* formation energy (no corrections): -1.4538 eV/atom